A relaxed structure of TaAlBr2. Source: Alexandria via LeMat-Bulk, functional GGA-PBE.

Total DFT energy (no corrections)   -16.095 eV per cell
Crystal system   tetragonal
V   81.2 Å³/cell
Energy relative to the elements, uncorrected   0.712 eV/atom
Offset from the most stable computed form   431.5 kJ/mol of formula units
DOS(E_F)   0.76 states/eV/atom
Space group   P4/mmm (123)

Cell lengths 5.086, 5.086, 3.140 Å; angles 90.00, 90.00, 90.00 degrees
Fractional positions:
Ta1 0.000 0.000 0.000
Al1 0.500 0.500 0.000
Br1 0.000 0.500 0.500
Br2 0.500 0.000 0.500

---

A relaxed structure of Ta2AlBr. Source: Alexandria via LeMat-Bulk, functional GGA-PBE.

Total DFT energy (no corrections)   -26.868 eV per cell
Crystal system   cubic
V   71.0 Å³/cell
Energy relative to the elements, uncorrected   0.563 eV/atom
Offset from the most stable computed form   156.8 kJ/mol of formula units
DOS(E_F)   0.23 states/eV/atom
Space group   Fm-3m (225)

Cell lengths 4.647, 4.647, 4.647 Å; angles 60.00, 60.00, 60.00 degrees
Fractional positions:
Ta1 0.250 0.250 0.250
Ta2 0.750 0.750 0.750
Al1 0.000 0.000 0.000
Br1 0.500 0.500 0.500